# 1
First-principles (GGA+U) data for Fe6O7F5 after structural relaxation, as listed in the Alexandria database.

Results
V   191.32 Å³/f.u.
DOS at the Fermi energy   3.86 states/eV per cell
E   -5.6731 eV/atom
Distance to the lowest polymorph of the same formula   403 meV per atom
Size of the total moment   12.979 Bohr magnetons per cell

Cell: 4.593 5.498 7.600 Å, 85.76 89.33 88.70°
Space group P1 (No. 1)
Unique sites:
Fe: 0.000 0.000 0.000 x1
Fe: 0.004 0.330 0.675 x1
Fe: 0.462 0.518 0.008 x1
Fe: 0.477 0.846 0.670 x1
Fe: 0.494 0.193 0.361 x1
Fe: 0.949 0.665 0.328 x1
O: 0.174 0.291 0.901 x1
O: 0.284 0.802 0.897 x1
O: 0.289 0.138 0.580 x1
O: 0.289 0.481 0.238 x1
O: 0.677 0.881 0.446 x1
O: 0.790 0.722 0.098 x1
O: 0.806 0.377 0.455 x1
F: 0.181 0.981 0.237 x1
F: 0.190 0.638 0.574 x1
F: 0.685 0.212 0.106 x1
F: 0.685 0.543 0.770 x1
F: 0.783 0.040 0.774 x1

# 2
First-principles (GGA+U) data for Fe4O3F5 after structural relaxation, as listed in the Alexandria database.

Results
V   141.12 Å³/f.u.
DOS at the Fermi energy   0.68 states/eV per cell
E   -5.8094 eV/atom
Distance to the lowest polymorph of the same formula   82 meV per atom
Size of the total moment   33.992 Bohr magnetons per cell

Cell: 4.799 6.183 9.996 Å, 72.44 86.68 89.89°
Space group P1 (No. 1)
Unique sites:
Fe: 0.000 0.000 0.000 x1
Fe: 0.007 0.745 0.483 x1
Fe: 0.023 0.245 0.470 x1
Fe: 0.069 0.491 0.967 x1
Fe: 0.496 0.131 0.216 x1
Fe: 0.518 0.615 0.230 x1
Fe: 0.528 0.382 0.719 x1
Fe: 0.547 0.877 0.717 x1
O: 0.217 0.202 0.070 x1
O: 0.318 0.313 0.319 x1
O: 0.341 0.580 0.817 x1
O: 0.696 0.929 0.132 x1
O: 0.714 0.666 0.631 x1
O: 0.723 0.174 0.628 x1
F: 0.202 0.705 0.068 x1
F: 0.219 0.960 0.580 x1
F: 0.223 0.433 0.570 x1
F: 0.316 0.830 0.335 x1
F: 0.332 0.075 0.827 x1
F: 0.732 0.428 0.108 x1
F: 0.810 0.061 0.372 x1
F: 0.840 0.534 0.375 x1
F: 0.842 0.803 0.881 x1
F: 0.843 0.294 0.877 x1

# 3
First-principles (GGA+U) data for Fe6O7F5 after structural relaxation, as listed in the Alexandria database.

Results
V   200.24 Å³/f.u.
DOS at the Fermi energy   3.32 states/eV per cell
E   -5.9467 eV/atom
Distance to the lowest polymorph of the same formula   129 meV per atom
Size of the total moment   24.988 Bohr magnetons per cell

Cell: 5.570 5.576 7.379 Å, 71.54 71.63 71.54°
Space group P1 (No. 1)
Unique sites:
Fe: 0.000 0.000 0.000 x1
Fe: 0.007 0.070 0.525 x1
Fe: 0.317 0.364 0.185 x1
Fe: 0.353 0.357 0.684 x1
Fe: 0.637 0.719 0.844 x1
Fe: 0.659 0.713 0.349 x1
O: 0.120 0.141 0.722 x1
O: 0.295 0.707 0.017 x1
O: 0.356 0.014 0.354 x1
O: 0.562 0.600 0.640 x1
O: 0.652 0.064 0.682 x1
O: 0.748 0.797 0.060 x1
O: 0.964 0.413 0.350 x1
F: 0.035 0.667 0.685 x1
F: 0.218 0.249 0.991 x1
F: 0.434 0.477 0.377 x1
F: 0.691 0.328 0.016 x1
F: 0.900 0.945 0.308 x1

# 4
First-principles (GGA+U) data for Fe4O5F3 after structural relaxation, as listed in the Alexandria database.

Results
V   135.82 Å³/f.u.
DOS at the Fermi energy   2.80 states/eV per cell
E   -6.0008 eV/atom
Distance to the lowest polymorph of the same formula   48 meV per atom
Size of the total moment   33.982 Bohr magnetons per cell

Cell: 6.008 6.353 7.118 Å, 90.00 90.00 90.00°
Space group Pmmn (No. 59, origin choice 2)
Unique sites:
Fe: 0.009 0.250 0.239 x4
Fe: 0.250 0.250 0.779 x2
Fe: 0.250 0.750 0.258 x2
O: 0.004 0.058 0.750 x8
O: 0.250 0.250 0.062 x2
F: 0.250 0.250 0.437 x2
F: 0.250 0.750 0.571 x2
F: 0.250 0.750 0.942 x2

# 5
First-principles (GGA+U) data for Fe4O5F3 after structural relaxation, as listed in the Alexandria database.

Results
V   136.17 Å³/f.u.
DOS at the Fermi energy   2.24 states/eV per cell
E   -6.0049 eV/atom
Distance to the lowest polymorph of the same formula   44 meV per atom
Size of the total moment   33.996 Bohr magnetons per cell

Cell: 5.999 6.349 7.150 Å, 90.00 90.00 90.00°
Space group Imm2 (No. 44)
Unique sites:
Fe: 0.000 0.000 0.000 x2
Fe: 0.000 0.500 0.458 x2
Fe: 0.242 0.500 0.001 x4
O: 0.000 0.500 0.178 x2
O: 0.246 0.308 0.492 x8
F: 0.000 0.000 0.312 x2
F: 0.000 0.000 0.683 x2
F: 0.000 0.500 0.805 x2

# 6
First-principles (GGA+U) data for Fe6O7F5 after structural relaxation, as listed in the Alexandria database.

Results
V   206.25 Å³/f.u.
DOS at the Fermi energy   3.76 states/eV per cell
E   -5.9637 eV/atom
Distance to the lowest polymorph of the same formula   112 meV per atom
Size of the total moment   49.961 Bohr magnetons per cell

Cell: 9.386 6.322 7.846 Å, 90.00 117.63 90.00°
Space group Cm (No. 8)
Unique sites:
Fe: 0.000 0.000 0.000 x2
Fe: 0.006 0.000 0.497 x2
Fe: 0.155 0.500 0.190 x2
Fe: 0.168 0.500 0.652 x2
Fe: 0.336 0.000 0.830 x2
Fe: 0.345 0.000 0.330 x2
O: 0.004 0.306 0.005 x4
O: 0.061 0.500 0.372 x2
O: 0.171 0.192 0.664 x4
O: 0.332 0.309 0.329 x4
F: 0.110 0.000 0.289 x2
F: 0.229 0.000 0.039 x2
F: 0.273 0.500 0.947 x2
F: 0.403 0.500 0.711 x2
F: 0.440 0.000 0.622 x2

# 7
First-principles (GGA+U) data for Fe2O3F after structural relaxation, as listed in the Alexandria database.

Results
V   65.04 Å³/f.u.
DOS at the Fermi energy   6.60 states/eV per cell
E   -6.0487 eV/atom
Distance to the lowest polymorph of the same formula   65 meV per atom
Size of the total moment   2.996 Bohr magnetons per cell

Cell: 4.689 2.975 18.666 Å, 90.00 92.30 90.00°
Space group Pm (No. 6)
Unique sites:
Fe: 0.000 0.000 0.000 x1
Fe: 0.015 0.000 0.750 x1
Fe: 0.402 0.500 0.384 x1
Fe: 0.450 0.500 0.137 x1
Fe: 0.474 0.500 0.884 x1
Fe: 0.498 0.500 0.630 x1
Fe: 0.906 0.000 0.496 x1
Fe: 0.973 0.000 0.251 x1
O: 0.129 0.500 0.311 x1
O: 0.165 0.500 0.055 x1
O: 0.189 0.500 0.801 x1
O: 0.233 0.000 0.427 x1
O: 0.264 0.000 0.182 x1
O: 0.290 0.000 0.928 x1
O: 0.304 0.000 0.674 x1
O: 0.649 0.000 0.577 x1
O: 0.710 0.500 0.449 x1
O: 0.759 0.500 0.211 x1
O: 0.791 0.500 0.959 x1
O: 0.811 0.500 0.704 x1
F: 0.134 0.500 0.548 x1
F: 0.591 0.000 0.335 x1
F: 0.661 0.000 0.084 x1
F: 0.693 0.000 0.830 x1

# 8
First-principles (GGA+U) data for Fe4O3F5 after structural relaxation, as listed in the Alexandria database.

Results
V   143.96 Å³/f.u.
E   -5.8701 eV/atom
Distance to the lowest polymorph of the same formula   21 meV per atom
Size of the total moment   38.007 Bohr magnetons per cell

Cell: 4.816 6.179 9.677 Å, 90.00 91.16 90.00°
Space group Pc (No. 7)
Unique sites:
Fe: 0.000 0.003 0.000 x2
Fe: 0.067 0.491 0.039 x2
Fe: 0.539 0.249 0.767 x2
Fe: 0.572 0.251 0.247 x2
O: 0.361 0.496 0.676 x2
O: 0.708 0.000 0.349 x2
O: 0.850 0.263 0.110 x2
F: 0.228 0.269 0.421 x2
F: 0.248 0.264 0.915 x2
F: 0.336 0.006 0.657 x2
F: 0.750 0.499 0.866 x2
F: 0.842 0.263 0.618 x2